The following is a DFT calculation (PBE) of Ac3S3Br2 after structural relaxation.

Summary:
- ΔE_f (raw): -1.78 eV per atom

a b c (Å): 3.9744 4.8340 22.6537
angles (deg): 90.00 90.00 90.00
Closest atoms and distances in Å follow each position.
Space group Immm (No. 71)
Symmetry-distinct sites (fractional):
1 Ac 0.0000 0.0000 0.0000  8 S 3.13-3.22
2 Ac 0.0000 0.5000 0.1484  4 Br 3.18-3.22, 4 S 3.24
3 S 0.0000 0.0000 0.5000  4 Ac 3.13, 4 S 3.50
4 S 0.0000 0.5000 0.3882  6 Ac 3.22-3.24, 2 S 3.50, 2 Br 3.51
5 Br 0.0000 0.0000 0.2395  4 Br 3.17, 4 Ac 3.18-3.22, 2 S 3.51

The following is a DFT calculation (PBE) of PrDyNiIr after structural relaxation.

Summary:
- ΔE to the lowest computed polymorph: 0 meV/atom
- Energy of formation: -0.562 eV per atom

a b c (Å): 4.1044 3.9504 10.9103
angles (deg): 90.00 90.00 90.00
Closest atoms and distances in Å follow each position.
Space group Amm2 (No. 38)
Symmetry-distinct sites (fractional):
1 Pr 0.0000 0.0000 0.0000  4 Ni 2.96, 3 Ir 3.02-3.14
2 Dy 0.5000 0.0000 0.7173  4 Ir 2.92, 3 Ni 3.01-3.18
3 Ni 0.5000 0.0000 0.4257  2 Ir 2.62
4 Ir 0.0000 0.0000 0.2768  2 Ni 2.62, 4 Dy 2.92

Number 1: DFT total energy -5.291 eV/atom. Number 2: DFT total energy -6.568 eV/atom.